# 1
! PBE ZrAl2Tc, relaxed; values from VASP
! Energy of formation from the pure elements, eV/atom: -0.319
! SG: No. 216
! Spin magnetization, μB per formula unit: 0.00
! DOS(E_F), states/eV/f.u.: 3.8
! Energy above the lowest structure with this stoichiometry, eV/atom: 0.0539
&SYSTEM
  ibrav = 0, nat = 16, ntyp = 3
/
ATOMIC_SPECIES
Zr 91.22 Zr.upf
Al 26.98 Al.upf
Tc 98.00 Tc.upf
ATOMIC_POSITIONS crystal
Zr 0.000 0.000 0.000
Zr 0.000 0.500 0.500
Zr 0.500 0.000 0.500
Zr 0.500 0.500 0.000
Al 0.000 0.000 0.500
Al 0.000 0.500 0.000
Al 0.250 0.250 0.250
Al 0.250 0.750 0.750
Al 0.500 0.000 0.000
Al 0.500 0.500 0.500
Al 0.750 0.250 0.750
Al 0.750 0.750 0.250
Tc 0.250 0.250 0.750
Tc 0.250 0.750 0.250
Tc 0.750 0.250 0.250
Tc 0.750 0.750 0.750
CELL_PARAMETERS angstrom
6.412 0.000 0.000
0.000 6.412 0.000
0.000 0.000 6.412


# 2
! PBE Zr6Al3Tc, relaxed; values from VASP
! Energy of formation from the pure elements, eV/atom: -0.345
! SG: No. 11
! Spin magnetization, μB per formula unit: 0.00
! DOS(E_F), states/eV/f.u.: 8.5
&SYSTEM
  ibrav = 0, nat = 20, ntyp = 3
/
ATOMIC_SPECIES
Zr 91.22 Zr.upf
Al 26.98 Al.upf
Tc 98.00 Tc.upf
ATOMIC_POSITIONS crystal
Zr 0.040 0.250 0.414
Zr 0.161 0.750 0.179
Zr 0.264 0.250 0.004
Zr 0.352 0.750 0.805
Zr 0.353 0.250 0.319
Zr 0.426 0.250 0.623
Zr 0.574 0.750 0.377
Zr 0.647 0.750 0.681
Zr 0.648 0.250 0.195
Zr 0.736 0.750 0.996
Zr 0.839 0.250 0.821
Zr 0.960 0.750 0.586
Al 0.038 0.750 0.882
Al 0.129 0.250 0.714
Al 0.269 0.750 0.476
Al 0.731 0.250 0.524
Al 0.871 0.750 0.286
Al 0.962 0.250 0.118
Tc 0.453 0.750 0.095
Tc 0.547 0.250 0.905
CELL_PARAMETERS angstrom
8.176 0.000 0.000
0.000 4.926 0.000
-3.487 0.000 9.855


# 3
! PBE Zr2AlTc, relaxed; values from VASP
! Energy of formation from the pure elements, eV/atom: -0.091
! SG: No. 35
! Spin magnetization, μB per formula unit: 0.00
! DOS(E_F), states/eV/f.u.: 4.6
&SYSTEM
  ibrav = 0, nat = 8, ntyp = 3
/
ATOMIC_SPECIES
Zr 91.22 Zr.upf
Al 26.98 Al.upf
Tc 98.00 Tc.upf
ATOMIC_POSITIONS crystal
Zr 0.000 0.000 0.000
Zr 0.000 0.500 0.299
Zr 0.500 0.000 0.299
Zr 0.500 0.500 0.000
Al 0.000 0.000 0.561
Al 0.500 0.500 0.561
Tc 0.000 0.500 0.771
Tc 0.500 0.000 0.771
CELL_PARAMETERS angstrom
3.366 0.000 0.000
0.000 4.901 0.000
0.000 0.000 9.163


# 4
! PBE Zr2Al3Tc, relaxed; values from VASP
! Energy of formation from the pure elements, eV/atom: -0.521
! SG: No. 166
! Spin magnetization, μB per formula unit: 0.00
! DOS(E_F), states/eV/f.u.: 6.8
! Energy above the lowest structure with this stoichiometry, eV/atom: 0.0202
&SYSTEM
  ibrav = 0, nat = 6, ntyp = 3
/
ATOMIC_SPECIES
Zr 91.22 Zr.upf
Al 26.98 Al.upf
Tc 98.00 Tc.upf
ATOMIC_POSITIONS crystal
Zr 0.129 0.129 0.129
Zr 0.871 0.871 0.871
Al 0.000 0.500 0.500
Al 0.500 0.000 0.500
Al 0.500 0.500 0.000
Tc 0.500 0.500 0.500
CELL_PARAMETERS angstrom
2.656 1.533 4.306
-2.656 1.533 4.306
0.000 -3.066 4.306


# 5
! PBE ZrAl2Tc, relaxed; values from VASP
! Energy of formation from the pure elements, eV/atom: -0.087
! SG: No. 35
! Spin magnetization, μB per formula unit: 0.00
! DOS(E_F), states/eV/f.u.: 3.2
! Energy above the lowest structure with this stoichiometry, eV/atom: 0.2859
&SYSTEM
  ibrav = 0, nat = 8, ntyp = 3
/
ATOMIC_SPECIES
Zr 91.22 Zr.upf
Al 26.98 Al.upf
Tc 98.00 Tc.upf
ATOMIC_POSITIONS crystal
Zr 0.000 0.000 0.000
Zr 0.500 0.500 0.000
Al 0.000 0.000 0.528
Al 0.000 0.500 0.276
Al 0.500 0.000 0.276
Al 0.500 0.500 0.528
Tc 0.000 0.500 0.750
Tc 0.500 0.000 0.750
CELL_PARAMETERS angstrom
3.374 0.000 0.000
0.000 4.785 0.000
0.000 0.000 8.590


# 6
! PBE ZrAl2Tc, relaxed; values from VASP
! Energy of formation from the pure elements, eV/atom: -0.286
! SG: No. 47
! Spin magnetization, μB per formula unit: 0.00
! DOS(E_F), states/eV/f.u.: 3.4
! Energy above the lowest structure with this stoichiometry, eV/atom: 0.0867
&SYSTEM
  ibrav = 0, nat = 4, ntyp = 3
/
ATOMIC_SPECIES
Zr 91.22 Zr.upf
Al 26.98 Al.upf
Tc 98.00 Tc.upf
ATOMIC_POSITIONS crystal
Zr 0.000 0.000 0.000
Al 0.500 0.500 0.279
Al 0.500 0.500 0.721
Tc 0.000 0.000 0.500
CELL_PARAMETERS angstrom
2.851 0.000 0.000
0.000 4.052 0.000
0.000 0.000 5.791


# 7
! PBE Zr6AlTc5, relaxed; values from VASP
! Energy of formation from the pure elements, eV/atom: -0.406
! SG: No. 71
! Spin magnetization, μB per formula unit: 0.00
! DOS(E_F), states/eV/f.u.: 7.5
&SYSTEM
  ibrav = 0, nat = 12, ntyp = 3
/
ATOMIC_SPECIES
Zr 91.22 Zr.upf
Al 26.98 Al.upf
Tc 98.00 Tc.upf
ATOMIC_POSITIONS crystal
Zr 0.075 0.330 0.745
Zr 0.238 0.000 0.238
Zr 0.416 0.670 0.745
Zr 0.584 0.330 0.255
Zr 0.762 0.000 0.762
Zr 0.925 0.670 0.255
Al 0.500 0.500 0.000
Tc 0.000 0.500 0.500
Tc 0.168 0.168 0.000
Tc 0.339 0.839 0.500
Tc 0.661 0.161 0.500
Tc 0.832 0.832 0.000
CELL_PARAMETERS angstrom
-2.321 3.335 7.014
2.321 -3.335 7.014
2.321 3.335 -7.014


# 8
! PBE Zr2AlTc, relaxed; values from VASP
! Energy of formation from the pure elements, eV/atom: 0.468
! SG: No. 71
! Spin magnetization, μB per formula unit: 0.59
! DOS(E_F), states/eV/f.u.: 3.7
&SYSTEM
  ibrav = 0, nat = 8, ntyp = 3
/
ATOMIC_SPECIES
Zr 91.22 Zr.upf
Al 26.98 Al.upf
Tc 98.00 Tc.upf
ATOMIC_POSITIONS crystal
Zr 0.000 0.000 0.245
Zr 0.000 0.000 0.755
Zr 0.500 0.500 0.255
Zr 0.500 0.500 0.745
Al 0.000 0.000 0.500
Al 0.500 0.500 0.000
Tc 0.000 0.000 0.000
Tc 0.500 0.500 0.500
CELL_PARAMETERS angstrom
2.964 0.000 0.000
0.000 4.862 0.000
0.000 0.000 10.937


# 9
! PBE Zr5AlTc4, relaxed; values from VASP
! Energy of formation from the pure elements, eV/atom: -0.402
! SG: No. 123
! Spin magnetization, μB per formula unit: 0.00
! DOS(E_F), states/eV/f.u.: 8.7
&SYSTEM
  ibrav = 0, nat = 10, ntyp = 3
/
ATOMIC_SPECIES
Zr 91.22 Zr.upf
Al 26.98 Al.upf
Tc 98.00 Tc.upf
ATOMIC_POSITIONS crystal
Zr 0.000 0.000 0.000
Zr 0.000 0.000 0.199
Zr 0.000 0.000 0.394
Zr 0.000 0.000 0.606
Zr 0.000 0.000 0.801
Al 0.500 0.500 0.500
Tc 0.500 0.500 0.100
Tc 0.500 0.500 0.302
Tc 0.500 0.500 0.698
Tc 0.500 0.500 0.900
CELL_PARAMETERS angstrom
3.329 0.000 0.000
0.000 3.329 0.000
0.000 0.000 16.409


# 10
! PBE Zr4AlTc3, relaxed; values from VASP
! Energy of formation from the pure elements, eV/atom: -0.412
! SG: No. 47
! Spin magnetization, μB per formula unit: 0.00
! DOS(E_F), states/eV/f.u.: 6.4
&SYSTEM
  ibrav = 0, nat = 8, ntyp = 3
/
ATOMIC_SPECIES
Zr 91.22 Zr.upf
Al 26.98 Al.upf
Tc 98.00 Tc.upf
ATOMIC_POSITIONS crystal
Zr 0.000 0.000 0.000
Zr 0.000 0.000 0.500
Zr 0.000 0.500 0.242
Zr 0.000 0.500 0.758
Al 0.500 0.500 0.500
Tc 0.500 0.000 0.255
Tc 0.500 0.000 0.745
Tc 0.500 0.500 0.000
CELL_PARAMETERS angstrom
3.360 0.000 0.000
0.000 4.656 0.000
0.000 0.000 9.310


# 11
! PBE Zr2AlTc, relaxed; values from VASP
! Energy of formation from the pure elements, eV/atom: -0.454
! SG: No. 123
! Spin magnetization, μB per formula unit: 0.00
! DOS(E_F), states/eV/f.u.: 1.5
&SYSTEM
  ibrav = 0, nat = 4, ntyp = 3
/
ATOMIC_SPECIES
Zr 91.22 Zr.upf
Al 26.98 Al.upf
Tc 98.00 Tc.upf
ATOMIC_POSITIONS crystal
Zr 0.000 0.000 0.238
Zr 0.000 0.000 0.762
Al 0.500 0.500 0.500
Tc 0.500 0.500 0.000
CELL_PARAMETERS angstrom
3.374 0.000 0.000
0.000 3.374 0.000
0.000 0.000 6.559


# 12
! PBE Zr5AlTc, relaxed; values from VASP
! Energy of formation from the pure elements, eV/atom: -0.062
! SG: No. 15
! Spin magnetization, μB per formula unit: 0.00
! DOS(E_F), states/eV/f.u.: 6.2
&SYSTEM
  ibrav = 0, nat = 14, ntyp = 3
/
ATOMIC_SPECIES
Zr 91.22 Zr.upf
Al 26.98 Al.upf
Tc 98.00 Tc.upf
ATOMIC_POSITIONS crystal
Zr 0.032 0.615 0.159
Zr 0.138 0.862 0.750
Zr 0.234 0.444 0.503
Zr 0.385 0.968 0.341
Zr 0.444 0.234 0.003
Zr 0.556 0.766 0.997
Zr 0.615 0.032 0.659
Zr 0.766 0.556 0.497
Zr 0.862 0.138 0.250
Zr 0.968 0.385 0.841
Al 0.494 0.506 0.750
Al 0.506 0.494 0.250
Tc 0.000 0.000 0.000
Tc 0.000 0.000 0.500
CELL_PARAMETERS angstrom
3.890 -4.075 0.000
3.890 4.075 0.000
-0.108 0.000 9.535


# 13
! PBE ZrAl2Tc, relaxed; values from VASP
! Energy of formation from the pure elements, eV/atom: -0.316
! SG: No. 139
! Spin magnetization, μB per formula unit: 0.00
! DOS(E_F), states/eV/f.u.: 2.8
! Energy above the lowest structure with this stoichiometry, eV/atom: 0.0568
&SYSTEM
  ibrav = 0, nat = 8, ntyp = 3
/
ATOMIC_SPECIES
Zr 91.22 Zr.upf
Al 26.98 Al.upf
Tc 98.00 Tc.upf
ATOMIC_POSITIONS crystal
Zr 0.000 0.000 0.000
Zr 0.500 0.500 0.500
Al 0.000 0.500 0.250
Al 0.000 0.500 0.750
Al 0.500 0.000 0.250
Al 0.500 0.000 0.750
Tc 0.000 0.000 0.500
Tc 0.500 0.500 0.000
CELL_PARAMETERS angstrom
4.205 0.000 0.000
0.000 4.205 0.000
0.000 0.000 7.503


# 14
! PBE ZrAl2Tc, relaxed; values from VASP
! Energy of formation from the pure elements, eV/atom: -0.233
! SG: No. 12
! Spin magnetization, μB per formula unit: 0.00
! DOS(E_F), states/eV/f.u.: 2.9
! Energy above the lowest structure with this stoichiometry, eV/atom: 0.1392
&SYSTEM
  ibrav = 0, nat = 8, ntyp = 3
/
ATOMIC_SPECIES
Zr 91.22 Zr.upf
Al 26.98 Al.upf
Tc 98.00 Tc.upf
ATOMIC_POSITIONS crystal
Zr 0.000 0.000 0.000
Zr 0.500 0.500 0.000
Al 0.250 0.250 0.500
Al 0.250 0.750 0.500
Al 0.750 0.250 0.500
Al 0.750 0.750 0.500
Tc 0.000 0.500 0.000
Tc 0.500 0.000 0.000
CELL_PARAMETERS angstrom
5.553 0.000 0.000
0.000 8.694 0.000
-0.581 0.000 2.772